## Th8GeP4Se3 (PBE)

Data for Th8GeP4Se3 after structural relaxation.

Structure (CIF):
```
data_Th8GeP4Se3
_chemical_formula_sum 'Th24 Ge3 P12 Se9'
_cell_length_a 8.3511
_cell_length_b 8.3511
_cell_length_c 20.6592
_cell_angle_alpha 90.00
_cell_angle_beta 90.00
_cell_angle_gamma 120.00
_symmetry_space_group_name_H-M 'R -3 m'
_symmetry_Int_Tables_number 166
_symmetry_space_group_name_Hall '-R 3 2"'
loop_
_atom_site_label
_atom_site_fract_x
_atom_site_fract_y
_atom_site_fract_z
Th1 0.0000 0.0000 0.2433
Th2 0.0045 0.5023 0.7555
Ge1 0.0000 0.0000 0.0000
P1 0.0000 0.0000 0.5000
P2 0.0000 0.5000 0.5000
Se1 0.0000 0.5000 0.0000
```

Summary:
For the uncorrected formation energy, the calculation gives -1.505 eV per atom. For the calculated volume, the calculation gives 26.0 Å³ per atom. Its spin magnetization is 0.00 Bohr magnetons per cell. The density of states at the Fermi level comes out at 27.54 states/eV per cell.



## Th6Ge3P2Se (PBE)

Data for Th6Ge3P2Se after structural relaxation.

Structure (CIF):
```
data_Th6Ge3P2Se
_chemical_formula_sum 'Th12 Ge6 P4 Se2'
_cell_length_a 18.4369
_cell_length_b 4.2496
_cell_length_c 8.4575
_cell_angle_alpha 90.00
_cell_angle_beta 102.62
_cell_angle_gamma 90.00
_symmetry_space_group_name_H-M 'C 1 2/m 1'
_symmetry_Int_Tables_number 12
loop_
_symmetry_equiv_pos_as_xyz
'x,y,z'
'-x,-y,-z'
'-x,y,-z'
'x,-y,z'
'x+1/2,y+1/2,z'
'-x+1/2,-y+1/2,-z'
'-x+1/2,y+1/2,-z'
'x+1/2,-y+1/2,z'
loop_
_atom_site_label
_atom_site_fract_x
_atom_site_fract_y
_atom_site_fract_z
Th1 0.0034 0.0000 0.2585
Th2 0.1688 0.5000 0.5791
Th3 0.1703 0.5000 0.0908
Ge1 0.0000 0.5000 0.5000
Ge2 0.1638 0.0000 0.8335
P1 0.1668 0.0000 0.3325
Se1 0.0000 0.5000 0.0000
```

Summary:
For the uncorrected formation energy, the calculation gives -1.181 eV per atom. For the calculated volume, the calculation gives 26.9 Å³ per atom. Its spin magnetization is 0.00 Bohr magnetons per cell. The density of states at the Fermi level comes out at 11.05 states/eV per cell.



## Th6Ge3PSe2 (PBE)

Data for Th6Ge3PSe2 after structural relaxation.

Structure (CIF):
```
data_Th6Ge3PSe2
_chemical_formula_sum 'Th12 Ge6 P2 Se4'
_cell_length_a 18.4717
_cell_length_b 4.2646
_cell_length_c 8.4846
_cell_angle_alpha 90.00
_cell_angle_beta 102.36
_cell_angle_gamma 90.00
_symmetry_space_group_name_H-M 'C 1 2/m 1'
_symmetry_Int_Tables_number 12
loop_
_symmetry_equiv_pos_as_xyz
'x,y,z'
'-x,-y,-z'
'-x,y,-z'
'x,-y,z'
'x+1/2,y+1/2,z'
'-x+1/2,-y+1/2,-z'
'-x+1/2,y+1/2,-z'
'x+1/2,-y+1/2,z'
loop_
_atom_site_label
_atom_site_fract_x
_atom_site_fract_y
_atom_site_fract_z
Th1 0.0027 0.0000 0.2578
Th2 0.1629 0.5000 0.5755
Th3 0.1639 0.5000 0.0884
Ge1 0.0000 0.5000 0.0000
Ge2 0.1693 0.0000 0.3336
P1 0.0000 0.5000 0.5000
Se1 0.1666 0.0000 0.8338
```

Summary:
For the uncorrected formation energy, the calculation gives -1.204 eV per atom. For the calculated volume, the calculation gives 27.2 Å³ per atom. Its spin magnetization is 0.00 Bohr magnetons per cell. The density of states at the Fermi level comes out at 12.83 states/eV per cell.



## Tm6GeP2Se3 (PBE)

Data for Tm6GeP2Se3 after structural relaxation.

Structure (CIF):
```
data_Tm6GeP2Se3
_chemical_formula_sum 'Tm12 Ge2 P4 Se6'
_cell_length_a 17.5673
_cell_length_b 4.0059
_cell_length_c 8.0676
_cell_angle_alpha 90.00
_cell_angle_beta 103.92
_cell_angle_gamma 90.00
_symmetry_space_group_name_H-M 'C 1 2/m 1'
_symmetry_Int_Tables_number 12
loop_
_symmetry_equiv_pos_as_xyz
'x,y,z'
'-x,-y,-z'
'-x,y,-z'
'x,-y,z'
'x+1/2,y+1/2,z'
'-x+1/2,-y+1/2,-z'
'-x+1/2,y+1/2,-z'
'x+1/2,-y+1/2,z'
loop_
_atom_site_label
_atom_site_fract_x
_atom_site_fract_y
_atom_site_fract_z
Tm1 0.0045 0.0000 0.2425
Tm2 0.1633 0.5000 0.0965
Tm3 0.1719 0.5000 0.5713
Ge1 0.0000 0.5000 0.0000
P1 0.1674 0.0000 0.3351
Se1 0.0000 0.5000 0.5000
Se2 0.1673 0.0000 0.8323
```

Summary:
For the uncorrected formation energy, the calculation gives -1.615 eV per atom. For the calculated volume, the calculation gives 23.0 Å³ per atom. Its spin magnetization is 0.00 Bohr magnetons per cell. The density of states at the Fermi level comes out at 7.32 states/eV per cell.